Entry 1:
Here is a geometry-optimized Pr6Os2PdBr3 structure from Alexandria via LeMat-Bulk. Energies are from PBE.

Output
The formation energy from raw total energies comes out at -819 meV/atom. The value obtained for the total moment is 0.000 μB/f.u. The density of states at the Fermi level is 8.99 states/eV per cell.

Cell lengths 7.2433, 12.5498, 8.2649 Å; angles 90.00, 106.96, 90.00 degrees
Last column: nearest neighbours and their distance in Å.
Space group C2/m (No. 12)
Inequivalent atoms, fractional coordinates:
Pr (0.2170, 0.0000, 0.1982) x4  2 Os 2.83, 1 Pd 2.97
Pr (0.2406, 0.3256, 0.1987) x8  2 Os 2.83-2.84, 1 Pd 2.98
Os (0.0000, 0.1666, 0.0000) x4  6 Pr 2.83-2.84
Pd (0.0000, 0.5000, 0.0000) x2  6 Pr 2.97-2.98
Br (0.0000, 0.0000, 0.5000) x2  6 Pr 3.31-3.43
Br (0.0000, 0.3313, 0.5000) x4  6 Pr 3.30-3.45


Entry 2:
Here is a geometry-optimized BaCaAg10 structure from Alexandria via LeMat-Bulk. Energies are from PBE.

Output
Its energy of formation from the pure elements is -0.1507 eV per atom. The value obtained for the total moment is 0.000 μB/f.u. The density of states at the Fermi level is 4.58 states/eV per cell.

Cell lengths 4.6826, 5.7536, 9.9851 Å; angles 90.00, 90.00, 90.00 degrees
Last column: nearest neighbours and their distance in Å.
Space group Pmmm (No. 47)
Inequivalent atoms, fractional coordinates:
Ba (0.0000, 0.0000, 0.0000) x1  18 Ag 3.40-3.76
Ca (0.0000, 0.5000, 0.5000) x1  6 Ag 3.19-3.27
Ag (0.0000, 0.0000, 0.3438) x2  7 Ag 2.81-3.12
Ag (0.0000, 0.5000, 0.1807) x2  6 Ag 2.84-2.96
Ag (0.5000, 0.0000, 0.5000) x1  8 Ag 2.81-2.84
Ag (0.5000, 0.2528, 0.2561) x4  8 Ag 2.84-2.93
Ag (0.5000, 0.5000, 0.0000) x1  8 Ag 2.93-2.96


Entry 3:
Here is a geometry-optimized Sc7Al2Hg2 structure from Alexandria via LeMat-Bulk. Energies are from PBE.

Output
Its energy of formation from the pure elements is -0.0247 eV per atom. The value obtained for the total moment is 0.000 μB/f.u. The density of states at the Fermi level is 23.71 states/eV per cell.

Cell lengths 7.2902, 10.2540, 7.1899 Å; angles 90.00, 90.00, 90.00 degrees
Last column: nearest neighbours and their distance in Å.
Space group Cmmm (No. 65)
Inequivalent atoms, fractional coordinates:
Sc (0.0000, 0.0000, 0.0000) x2  2 Hg 3.01
Sc (0.0000, 0.5000, 0.2766) x4  2 Al 2.87, 2 Hg 2.90, 4 Sc 3.15
Sc (0.2500, 0.2500, 0.2927) x8  2 Hg 2.82, 3 Sc 2.98-3.15, 2 Al 3.02
Al (0.1745, 0.0000, 0.5000) x4  1 Al 2.54
Hg (0.0000, 0.2935, 0.0000) x4  7 Sc 2.82-3.01


Entry 4:
Here is a geometry-optimized Rb3CdCu2Br9 structure from Alexandria via LeMat-Bulk. Energies are from PBE.

Output
The formation energy from raw total energies comes out at -954 meV/atom. The value obtained for the total moment is 0.000 μB/f.u. The density of states at the Fermi level is 3.86 states/eV per cell.

Cell lengths 7.5240, 7.5240, 9.2559 Å; angles 90.00, 90.00, 120.00 degrees
Last column: nearest neighbours and their distance in Å.
Space group P-3m1 (No. 164)
Inequivalent atoms, fractional coordinates:
Rb (0.0000, 0.0000, 0.0000) x1  12 Br 3.73-3.76
Rb (0.3333, 0.6667, 0.6662) x2  12 Br 3.76-3.81
Cd (0.0000, 0.0000, 0.5000) x1  6 Br 2.78
Cu (0.3333, 0.6667, 0.1558) x2  6 Br 2.61
Br (0.0000, 0.5000, 0.0000) x3  2 Cu 2.61
Br (0.1720, 0.3440, 0.3224) x6  1 Cu 2.61, 1 Cd 2.78


Entry 5:
Here is a geometry-optimized Rb2HoAg2Te4 structure from Alexandria via LeMat-Bulk. Energies are from PBE.

Output
The formation energy from raw total energies comes out at -844 meV/atom. The value obtained for the total moment is 0.000 μB/f.u. The density of states at the Fermi level is 7.30 states/eV per cell.

Cell lengths 16.4817, 4.4151, 8.8740 Å; angles 90.00, 108.57, 90.00 degrees
Last column: nearest neighbours and their distance in Å.
Space group C2/m (No. 12)
Inequivalent atoms, fractional coordinates:
Rb (0.1313, 0.0000, 0.0668) x4  7 Te 3.71-3.84, 1 Rb 4.11, 2 Ag 4.14
Ho (0.0000, 0.0000, 0.5000) x2  6 Te 3.09-3.12
Ag (0.1814, 0.5000, 0.4808) x4  4 Te 2.83-2.90, 2 Ag 3.10
Te (0.0125, 0.5000, 0.2648) x4  1 Ag 2.83, 2 Ho 3.09
Te (0.1953, 0.0000, 0.6905) x4  3 Ag 2.85-2.90, 1 Ho 3.12


Entry 6:
Here is a geometry-optimized AlTl2As structure from Alexandria via LeMat-Bulk. Energies are from PBE.

Output
Its energy of formation from the pure elements is 0.3017 eV per atom. The value obtained for the total moment is 0.000 μB/f.u. The density of states at the Fermi level is 3.43 states/eV per cell. Its energy above the lowest structure with this stoichiometry is 0.355 eV per atom.

Cell lengths 4.5292, 4.5527, 9.8244 Å; angles 90.00, 90.00, 90.00 degrees
Last column: nearest neighbours and their distance in Å.
Space group Cmmm (No. 65)
Inequivalent atoms, fractional coordinates:
Al (0.0000, 0.0000, 0.0000) x2  4 Al 3.21, 8 Tl 3.39-3.40
Tl (0.0000, 0.5000, 0.2565) x4  4 Tl 3.21, 4 As 3.29-3.30, 4 Al 3.39-3.40
As (0.0000, 0.0000, 0.5000) x2  4 As 3.21, 8 Tl 3.29-3.30


Entry 7:
Here is a geometry-optimized Ac5MgIn3 structure from Alexandria via LeMat-Bulk. Energies are from PBE.

Output
Its energy of formation from the pure elements is -0.2820 eV per atom. The value obtained for the total moment is 0.000 μB/f.u. The density of states at the Fermi level is 18.94 states/eV per cell.

Cell lengths 10.1737, 10.1737, 7.3012 Å; angles 90.00, 90.00, 120.00 degrees
Last column: nearest neighbours and their distance in Å.
Space group P6_3/mcm (No. 193)
Inequivalent atoms, fractional coordinates:
Ac (0.0000, 0.2966, 0.2500) x6  5 In 3.41-3.71, 2 Mg 3.53
Ac (0.3333, 0.6667, 0.0000) x4  8 Ac 3.65-4.03, 6 In 3.73
Mg (0.0000, 0.0000, 0.0000) x2  6 Ac 3.53, 2 Mg 3.65
In (0.0000, 0.3638, 0.7500) x6  9 Ac 3.41-3.73


Entry 8:
Here is a geometry-optimized YMn2Ru structure from Alexandria via LeMat-Bulk. Energies are from PBE.

Output
Its energy of formation from the pure elements is 0.2073 eV per atom. The value obtained for the total moment is 6.413 μB/f.u. The density of states at the Fermi level is 4.09 states/eV per cell. Its energy above the lowest structure with this stoichiometry is 0.120 eV per atom.

Cell lengths 3.1657, 3.1657, 6.9354 Å; angles 90.00, 90.00, 90.00 degrees
Last column: nearest neighbours and their distance in Å.
Space group P4/mmm (No. 123)
Inequivalent atoms, fractional coordinates:
Y (0.0000, 0.0000, 0.0000) x1  8 Mn 3.08, 4 Y 3.17
Mn (0.5000, 0.5000, 0.3058) x2  4 Ru 2.61, 1 Mn 2.69
Ru (0.0000, 0.0000, 0.5000) x1  8 Mn 2.61


Entry 9:
Here is a geometry-optimized BaPbI structure from Alexandria via LeMat-Bulk. Energies are from PBE.

Output
The formation energy from raw total energies comes out at -1079 meV/atom. The value obtained for the total moment is 0.000 μB/f.u. The density of states at the Fermi level is 2.18 states/eV per cell.

Cell lengths 5.0239, 5.0239, 38.6058 Å; angles 90.00, 90.00, 120.00 degrees
Last column: nearest neighbours and their distance in Å.
Space group R-3m (No. 166, hexagonal axes)
Inequivalent atoms, fractional coordinates:
Ba (0.0000, 0.0000, 0.0708) x6  3 I 3.45, 3 Pb 3.58
Pb (0.0000, 0.0000, 0.3497) x6  3 Pb 3.16
I (0.0000, 0.0000, 0.2141) x6  3 Ba 3.45


Entry 10:
Here is a geometry-optimized ScMn2Fe structure from Alexandria via LeMat-Bulk. Energies are from PBE.

Output
Its energy of formation from the pure elements is 0.4915 eV per atom. The value obtained for the total moment is 5.209 μB/f.u. The density of states at the Fermi level is 10.16 states/eV per cell. Its energy above the lowest structure with this stoichiometry is 0.396 eV per atom.

Cell lengths 4.6784, 9.0272, 2.7730 Å; angles 90.00, 90.00, 90.00 degrees
Last column: nearest neighbours and their distance in Å.
Space group Cmmm (No. 65)
Inequivalent atoms, fractional coordinates:
Sc (0.0000, 0.0000, 0.0000) x2  2 Fe 2.34
Mn (0.0000, 0.2894, 0.5000) x4  2 Fe 2.35, 2 Mn 2.44
Fe (0.0000, 0.5000, 0.0000) x2  2 Sc 2.34, 4 Mn 2.35


Entry 11:
Here is a geometry-optimized PuZr6In structure from Alexandria via LeMat-Bulk. Energies are from PBE.

Output
Its energy of formation from the pure elements is -0.0855 eV per atom. The value obtained for the total moment is 5.001 μB/f.u. The density of states at the Fermi level is 7.46 states/eV per cell.

Cell lengths 4.4993, 4.4993, 9.0686 Å; angles 90.00, 90.00, 90.00 degrees
Last column: nearest neighbours and their distance in Å.
Space group P4/mmm (No. 123)
Inequivalent atoms, fractional coordinates:
Pu (0.0000, 0.0000, 0.0000) x1  12 Zr 3.18
Zr (0.0000, 0.5000, 0.2481) x4  8 Zr 3.18-3.21, 2 Pu 3.18, 2 In 3.21
Zr (0.5000, 0.5000, 0.0000) x1  4 Pu 3.18, 8 Zr 3.18
Zr (0.5000, 0.5000, 0.5000) x1  4 In 3.18, 8 Zr 3.21
In (0.0000, 0.0000, 0.5000) x1  12 Zr 3.18-3.21


Entry 12:
Here is a geometry-optimized ErFeSi3Rh structure from Alexandria via LeMat-Bulk. Energies are from PBE.

Output
The formation energy from raw total energies comes out at -407 meV/atom. The value obtained for the total moment is 0.112 μB/f.u. The density of states at the Fermi level is 9.00 states/eV per cell.

Cell lengths 7.2091, 11.2386, 5.3148 Å; angles 90.00, 90.00, 90.00 degrees
Last column: nearest neighbours and their distance in Å.
Space group Cmcm (No. 63)
Inequivalent atoms, fractional coordinates:
Er (0.0000, 0.2156, 0.2500) x4  2 Si 2.66, 1 Fe 2.94
Fe (0.0000, 0.0457, 0.7500) x4  5 Si 2.10-2.27
Si (0.0000, 0.2322, 0.7500) x4  1 Fe 2.10, 1 Rh 2.19
Si (0.2453, 0.0000, 0.0000) x8  2 Fe 2.27, 2 Rh 2.41
Rh (0.0000, 0.4267, 0.7500) x4  5 Si 2.19-2.41